# ScSnI, optimized geometry, DFT PBE
# Spin magnetization, μB/cell: 0.0
# Energy relative to the elements, uncorrected, eV/f.u.: -2.182
# Crystal system: monoclinic
data_ScSnI
_symmetry_space_group_name_H-M 'C 1 2/m 1'
_symmetry_Int_Tables_number 12
_cell_length_a 7.178
_cell_length_b 4.155
_cell_length_c 12.874
_cell_angle_alpha 90.00
_cell_angle_beta 100.98
_cell_angle_gamma 90.00
loop_
_symmetry_equiv_pos_as_xyz
'x,y,z'
'-x,-y,-z'
'-x,y,-z'
'x,-y,z'
'x+1/2,y+1/2,z'
'-x+1/2,-y+1/2,-z'
'-x+1/2,y+1/2,-z'
'x+1/2,-y+1/2,z'
loop_
_atom_site_label
_atom_site_fract_x
_atom_site_fract_y
_atom_site_fract_z
Sc1 0.097 0.000 0.297
Sn1 0.189 0.000 0.564
I1 0.117 0.500 0.845